[1]
Computed, not measured: a relaxed structure of Y2Tl5Hg at the PBE-GGA level of DFT.

Properties
magnetic moment	0.0000	μB per atom

abc: 4.7880 6.6634 13.3513
angles: 90.00 90.00 90.00
Closest atoms and distances in Å follow each position.
Fractional coordinates of all 16 atoms:
Y: 0.5000 0.2519 0.6257  10 Tl 3.31-3.38, 2 Hg 3.37
Y: 0.5000 0.7481 0.3743  10 Tl 3.31-3.38, 2 Hg 3.37
Y: 0.5000 0.2481 0.1257  10 Tl 3.31-3.38, 2 Hg 3.37
Y: 0.5000 0.7519 0.8743  10 Tl 3.31-3.38, 2 Hg 3.37
Tl: 0.0000 0.0000 0.0000  2 Hg 3.33, 4 Y 3.36, 6 Tl 3.36-3.37
Tl: 0.0000 0.5000 0.5000  2 Hg 3.33, 4 Y 3.36, 6 Tl 3.36-3.37
Tl: 0.0000 0.5053 0.7522  1 Hg 3.31, 4 Y 3.33-3.38, 7 Tl 3.33-3.39
Tl: 0.0000 0.4947 0.2478  1 Hg 3.31, 4 Y 3.33-3.38, 7 Tl 3.33-3.39
Tl: 0.0000 0.9947 0.2522  1 Hg 3.31, 4 Y 3.33-3.38, 7 Tl 3.33-3.39
Tl: 0.0000 0.0053 0.7478  1 Hg 3.31, 4 Y 3.33-3.38, 7 Tl 3.33-3.39
Tl: 0.5000 0.2558 0.8777  4 Y 3.31-3.36, 2 Hg 3.32, 6 Tl 3.36-3.39
Tl: 0.5000 0.7442 0.1223  4 Y 3.31-3.36, 2 Hg 3.32, 6 Tl 3.36-3.39
Tl: 0.5000 0.2442 0.3777  4 Y 3.31-3.36, 2 Hg 3.32, 6 Tl 3.36-3.39
Tl: 0.5000 0.7558 0.6223  4 Y 3.31-3.36, 2 Hg 3.32, 6 Tl 3.36-3.39
Hg: 0.0000 0.0000 0.5000  8 Tl 3.31-3.33, 4 Y 3.37
Hg: 0.0000 0.5000 0.0000  8 Tl 3.31-3.33, 4 Y 3.37

---

[2]
Computed, not measured: a relaxed structure of YTlHg at the PBE-GGA level of DFT.

Properties
magnetic moment	0.0000	μB per atom
ΔE to the lowest computed polymorph	0	kJ/mol of formula units

abc: 5.4076 6.6047 4.9820
angles: 90.00 62.58 96.95
Closest atoms and distances in Å follow each position.
Fractional coordinates of all 6 atoms:
Y: 0.4150 0.2888 0.5305  5 Hg 3.11-3.33, 5 Tl 3.32-3.40
Y: 0.0587 0.8780 0.2087  5 Hg 3.11-3.33, 5 Tl 3.32-3.40
Tl: 0.7369 0.5833 0.8695  6 Hg 3.30-3.33, 2 Tl 3.30, 4 Y 3.40
Tl: 0.7369 0.0833 0.8695  2 Tl 3.30, 6 Y 3.32-3.35, 4 Hg 3.43
Hg: 0.0682 0.3829 0.2039  5 Y 3.11-3.33, 5 Tl 3.30-3.43
Hg: 0.4055 0.7840 0.5353  5 Y 3.11-3.33, 5 Tl 3.30-3.43

---

[3]
Computed, not measured: a relaxed structure of Y3Tl3Hg2 at the PBE-GGA level of DFT.

Properties
magnetic moment	0.0000	μB per atom

abc: 3.6532 8.2475 8.2475
angles: 120.00 90.00 90.00
Closest atoms and distances in Å follow each position.
Fractional coordinates of all 8 atoms:
Y: 0.5000 0.3840 0.3840  4 Hg 3.15, 4 Tl 3.32
Y: 0.5000 0.6160 0.0000  4 Hg 3.15, 4 Tl 3.32
Y: 0.5000 0.0000 0.6160  4 Hg 3.15, 4 Tl 3.32
Tl: 0.0000 0.7603 0.7603  2 Hg 3.21, 4 Y 3.32, 2 Tl 3.42
Tl: 0.0000 0.2397 0.0000  2 Hg 3.21, 4 Y 3.32, 2 Tl 3.42
Tl: 0.0000 0.0000 0.2397  2 Hg 3.21, 4 Y 3.32, 2 Tl 3.42
Hg: 0.0000 0.3333 0.6667  6 Y 3.15, 3 Tl 3.21
Hg: 0.0000 0.6667 0.3333  6 Y 3.15, 3 Tl 3.21

---

[4]
Computed, not measured: a relaxed structure of Y2TlHg9 at the PBE-GGA level of DFT.

Properties
magnetic moment	0.0000	μB per atom

abc: 4.5575 4.5575 14.7940
angles: 90.00 90.00 90.00
Closest atoms and distances in Å follow each position.
Fractional coordinates of all 12 atoms:
Y: 0.0000 0.0000 0.3349  12 Hg 3.23-3.34
Y: 0.0000 0.0000 0.6651  12 Hg 3.23-3.34
Tl: 0.0000 0.0000 0.0000  12 Hg 3.22-3.51
Hg: 0.5000 0.5000 0.0000  4 Tl 3.22, 8 Hg 3.51
Hg: 0.5000 0.5000 0.3482  8 Hg 3.20-3.37, 4 Y 3.23
Hg: 0.5000 0.5000 0.6518  8 Hg 3.20-3.37, 4 Y 3.23
Hg: 0.5000 0.0000 0.1805  8 Hg 3.22-3.51, 2 Y 3.23, 2 Tl 3.51
Hg: 0.5000 0.0000 0.5000  8 Hg 3.20-3.22, 4 Y 3.34
Hg: 0.5000 0.0000 0.8195  8 Hg 3.22-3.51, 2 Y 3.23, 2 Tl 3.51
Hg: 0.0000 0.5000 0.1805  8 Hg 3.22-3.51, 2 Y 3.23, 2 Tl 3.51
Hg: 0.0000 0.5000 0.5000  8 Hg 3.20-3.22, 4 Y 3.34
Hg: 0.0000 0.5000 0.8195  8 Hg 3.22-3.51, 2 Y 3.23, 2 Tl 3.51

---

[5]
Computed, not measured: a relaxed structure of Y3TlHg at the PBE-GGA level of DFT.

Properties
magnetic moment	0.3508	μB per atom
ΔE to the lowest computed polymorph	0	kJ/mol of formula units

abc: 5.3114 5.3114 10.3100
angles: 90.00 75.07 90.00
Closest atoms and distances in Å follow each position.
Fractional coordinates of all 10 atoms:
Y: 0.7644 0.2500 0.1195  2 Hg 3.22, 2 Tl 3.25, 4 Y 3.57
Y: 0.3845 0.2500 0.8793  2 Hg 3.21, 2 Tl 3.24, 4 Y 3.57-3.58
Y: 0.5744 0.2500 0.4995  4 Tl 3.27-3.28, 4 Hg 3.30-3.31
Y: 0.2638 0.7500 0.1207  2 Hg 3.21, 2 Tl 3.24, 4 Y 3.57-3.58
Y: 0.8839 0.7500 0.8805  2 Hg 3.22, 2 Tl 3.25, 4 Y 3.57
Y: 0.0739 0.7500 0.5005  4 Tl 3.27-3.28, 4 Hg 3.30-3.31
Tl: 0.6703 0.7500 0.3077  8 Y 3.24-3.28
Tl: 0.9780 0.2500 0.6923  8 Y 3.24-3.28
Hg: 0.4753 0.7500 0.6978  8 Y 3.21-3.31
Hg: 0.1731 0.2500 0.3022  8 Y 3.21-3.31

---

[6]
Computed, not measured: a relaxed structure of YTlHg at the PBE-GGA level of DFT.

Properties
magnetic moment	0.0000	μB per atom
ΔE to the lowest computed polymorph	16	kJ/mol of formula units

abc: 6.2626 4.9273 6.4839
angles: 99.86 111.34 112.73
Closest atoms and distances in Å follow each position.
Fractional coordinates of all 6 atoms:
Y: 0.8324 0.5704 0.2012  4 Hg 3.08-3.33, 3 Tl 3.20-3.26
Y: 0.5574 0.8255 0.6842  4 Hg 3.07-3.40, 4 Tl 3.21-3.41
Tl: 0.4635 0.8827 0.1722  4 Hg 3.07-3.43, 4 Y 3.20-3.41
Tl: 0.2139 0.1621 0.7082  4 Hg 3.07-3.35, 3 Y 3.21-3.26
Hg: 0.8911 0.4991 0.7075  4 Y 3.07-3.33, 4 Tl 3.07-3.43
Hg: 0.1477 0.2257 0.1852  4 Tl 3.07-3.35, 4 Y 3.08-3.40

---

[7]
Computed, not measured: a relaxed structure of YTl2Hg2 at the PBE-GGA level of DFT.

Properties
magnetic moment	0.0000	μB per atom
ΔE to the lowest computed polymorph	47	kJ/mol of formula units

abc: 4.2807 4.2807 8.4725
angles: 75.37 75.37 90.00
Closest atoms and distances in Å follow each position.
Fractional coordinates of all 5 atoms:
Y: 0.0000 0.0000 0.0000  8 Hg 3.37
Tl: 0.7500 0.2500 0.5000  4 Tl 3.03, 4 Hg 3.28
Tl: 0.2500 0.7500 0.5000  4 Tl 3.03, 4 Hg 3.28
Hg: 0.4070 0.4070 0.1860  1 Hg 2.94, 4 Tl 3.28
Hg: 0.5930 0.5930 0.8140  1 Hg 2.94, 4 Tl 3.28

---

[8]
Computed, not measured: a relaxed structure of YTlZnHg at the PBE-GGA level of DFT.

Properties
magnetic moment	0.0000	μB per atom

abc: 5.0964 5.0964 5.0964
angles: 60.00 60.00 60.00
Closest atoms and distances in Å follow each position.
Fractional coordinates of all 4 atoms:
Y: 0.5000 0.5000 0.5000  4 Hg 3.12, 4 Tl 3.12
Zn: 0.0000 0.0000 0.0000  4 Tl 3.12, 4 Hg 3.12
Tl: 0.2500 0.2500 0.2500  4 Y 3.12, 4 Zn 3.12
Hg: 0.7500 0.7500 0.7500  4 Zn 3.12, 4 Y 3.12

---

[9]
Computed, not measured: a relaxed structure of Yb2TlHg at the PBE-GGA level of DFT.

Properties
magnetic moment	0.0000	μB per atom

abc: 5.3660 5.3660 5.3660
angles: 60.00 60.00 60.00
Closest atoms and distances in Å follow each position.
Fractional coordinates of all 4 atoms:
Tl: 0.7500 0.7500 0.7500  8 Yb 3.29
Yb: 0.0000 0.0000 0.0000  4 Hg 3.29, 4 Tl 3.29
Yb: 0.5000 0.5000 0.5000  4 Hg 3.29, 4 Tl 3.29
Hg: 0.2500 0.2500 0.2500  8 Yb 3.29

---

[10]
Computed, not measured: a relaxed structure of Tl2ZnHg at the PBE-GGA level of DFT.

Properties
magnetic moment	0.0000	μB per atom
ΔE to the lowest computed polymorph	11	kJ/mol of formula units

abc: 3.3688 3.3688 9.7574
angles: 90.00 90.00 104.59
Closest atoms and distances in Å follow each position.
Fractional coordinates of all 4 atoms:
Hg: 0.5000 0.5000 0.7500  8 Tl 3.36-3.76, 4 Hg 3.37
Tl: 0.0000 0.0000 0.0224  2 Zn 3.03, 2 Hg 3.36, 4 Tl 3.37
Tl: 0.0000 0.0000 0.4776  2 Zn 3.03, 2 Hg 3.36, 4 Tl 3.37
Zn: 0.5000 0.5000 0.2500  4 Tl 3.03, 4 Zn 3.37

---

[11]
Computed, not measured: a relaxed structure of Tl2Zn2Hg at the PBE-GGA level of DFT.

Properties
magnetic moment	0.0000	μB per atom
ΔE to the lowest computed polymorph	37	kJ/mol of formula units

abc: 8.7262 8.7262 3.3646
angles: 90.00 90.00 90.00
Closest atoms and distances in Å follow each position.
Fractional coordinates of all 10 atoms:
Zn: 0.1089 0.6089 0.5000  1 Zn 2.69, 2 Tl 3.00
Zn: 0.6089 0.8911 0.5000  1 Zn 2.69, 2 Tl 3.00
Zn: 0.8911 0.3911 0.5000  1 Zn 2.69, 2 Tl 3.00
Zn: 0.3911 0.1089 0.5000  1 Zn 2.69, 2 Tl 3.00
Tl: 0.3103 0.8103 0.0000  6 Zn 3.00-3.18, 2 Hg 3.17
Tl: 0.8103 0.6897 0.0000  6 Zn 3.00-3.18, 2 Hg 3.17
Tl: 0.6897 0.1897 0.0000  6 Zn 3.00-3.18, 2 Hg 3.17
Tl: 0.1897 0.3103 0.0000  6 Zn 3.00-3.18, 2 Hg 3.17
Hg: 0.0000 0.0000 0.0000  4 Tl 3.17, 2 Hg 3.36
Hg: 0.5000 0.5000 0.0000  4 Tl 3.17, 2 Hg 3.36

---

[12]
Computed, not measured: a relaxed structure of TlZn2Hg at the PBE-GGA level of DFT.

Properties
magnetic moment	0.0000	μB per atom
ΔE to the lowest computed polymorph	28	kJ/mol of formula units

abc: 6.7608 5.3157 3.3607
angles: 81.77 74.22 123.36
Closest atoms and distances in Å follow each position.
Fractional coordinates of all 4 atoms:
Hg: 0.0000 0.5000 0.5000  4 Zn 2.93
Tl: 0.5000 0.5000 0.0000  4 Zn 2.93
Zn: 0.0000 0.0000 0.0000  2 Hg 2.93, 2 Tl 2.93
Zn: 0.5000 0.0000 0.5000  2 Tl 2.93, 2 Hg 2.93

---

Number 1: formation energy -0.26 eV/atom, N(E_F) 9.06 states/eV per cell, density 10.918 g/cm3. Number 2: formation energy -0.36 eV/atom, N(E_F) 2.74 states/eV per cell, density 10.483 g/cm3. Number 3: formation energy -0.35 eV/atom, N(E_F) 5.55 states/eV per cell, density 9.885 g/cm3. Number 4: formation energy -0.22 eV/atom, N(E_F) 5.84 states/eV per cell, density 11.821 g/cm3. Number 5: formation energy -0.34 eV/atom, N(E_F) 9.91 states/eV per cell, density 7.937 g/cm3. Number 6: formation energy -0.30 eV/atom, N(E_F) 3.89 states/eV per cell, density 10.241 g/cm3. Number 7: formation energy 0.01 eV/atom, N(E_F) 3.17 states/eV per cell, density 10.293 g/cm3. Number 8: formation energy -0.20 eV/atom, N(E_F) 0.44 states/eV per cell, density 9.923 g/cm3. Number 9: formation energy -0.57 eV/atom, N(E_F) 2.94 states/eV per cell, density 11.417 g/cm3. Number 10: formation energy 0.10 eV/atom, N(E_F) 0.97 states/eV per cell, density 10.456 g/cm3. Number 11: formation energy 0.17 eV/atom, N(E_F) 4.26 states/eV per cell, density 9.595 g/cm3. Number 12: formation energy 0.19 eV/atom, N(E_F) 1.39 states/eV per cell, density 9.842 g/cm3.